[1]
Entry from Alexandria via LeMat-Bulk: AlSiN3 after structural relaxation (PBE).

a b c (Å): 3.7336 3.7336 3.7336
angles (deg): 90.00 90.00 90.00
Last column: nearest neighbours and their distance in Å.
Space group Pm-3m (No. 221)
Asymmetric unit:
Al1 0.0000 0.0000 0.0000 [1 per cell]  6 N 1.87
Si1 0.5000 0.5000 0.5000 [1 per cell]  12 N 2.64
N1 0.0000 0.0000 0.5000 [3 per cell]  2 Al 1.87

mass density: 3.098 g/cm³
raw formation energy: 1235 meV/atom



[2]
Entry from Alexandria via LeMat-Bulk: CaDyTlI6 after structural relaxation (PBE).

a b c (Å): 7.9731 7.9731 15.1929
angles (deg): 90.00 90.00 120.00
Last column: nearest neighbours and their distance in Å.
Space group P-31c (No. 163)
Asymmetric unit:
Ca1 0.3333 0.6667 0.2500 [2 per cell]  6 I 3.15
Dy1 0.3333 0.6667 0.7500 [2 per cell]  6 I 3.05
Tl1 0.0000 0.0000 0.0000 [2 per cell]  6 I 3.55
I1 0.0096 0.3707 0.6332 [12 per cell]  1 Dy 3.05, 1 Ca 3.15

mass density: 4.639 g/cm³
raw formation energy: -1305 meV/atom



[3]
Entry from Alexandria via LeMat-Bulk: Dy12Tm6Cd after structural relaxation (PBE).

a b c (Å): 11.7618 11.7618 14.8313
angles (deg): 90.00 90.00 120.00
Last column: nearest neighbours and their distance in Å.
Space group R-3 (No. 148, hexagonal axes)
Asymmetric unit:
Dy1 0.0089 0.8294 0.3146 [18 per cell]  4 Tm 3.39-3.66, 1 Cd 3.44, 5 Dy 3.45-3.71
Dy2 0.0471 0.1977 0.9149 [18 per cell]  6 Dy 3.29-3.64, 3 Tm 3.29-3.44
Tm1 0.0227 0.5923 0.1913 [18 per cell]  7 Dy 3.29-3.66, 1 Cd 3.32, 2 Tm 3.38
Cd1 0.0000 0.0000 0.5000 [3 per cell]  6 Tm 3.32, 6 Dy 3.44

mass density: 8.624 g/cm³
E above lowest polymorph: 0 meV per atom



[4]
Entry from Alexandria via LeMat-Bulk: CsBaCa3 after structural relaxation (PBE).

a b c (Å): 6.5125 6.5125 6.5125
angles (deg): 90.00 90.00 90.00
Last column: nearest neighbours and their distance in Å.
Space group Pm-3m (No. 221)
Asymmetric unit:
Cs1 0.0000 0.0000 0.0000 [1 per cell]  6 Ca 3.26
Ba1 0.5000 0.5000 0.5000 [1 per cell]  12 Ca 4.61
Ca1 0.0000 0.0000 0.5000 [3 per cell]  2 Cs 3.26

mass density: 2.347 g/cm³
E above lowest polymorph: 67 meV per atom



[5]
Entry from Alexandria via LeMat-Bulk: PuAl5Au7 after structural relaxation (PBE).

a b c (Å): 5.5345 9.3717 9.0567
angles (deg): 90.00 90.00 90.00
Last column: nearest neighbours and their distance in Å.
Space group Imm2 (No. 44)
Asymmetric unit:
Pu1 0.0000 0.0000 0.0000 [2 per cell]  4 Au 2.92-3.15
Al1 0.0000 0.5000 0.2572 [2 per cell]  6 Au 2.69-2.86, 4 Al 2.80
Al2 0.2449 0.2572 0.7431 [8 per cell]  7 Au 2.63-2.88, 3 Al 2.71-2.82
Au1 0.0000 0.0000 0.3337 [2 per cell]  4 Al 2.80, 3 Au 2.93-3.11, 1 Pu 3.02
Au2 0.0000 0.0000 0.6775 [2 per cell]  6 Al 2.83-2.86, 1 Pu 2.92, 1 Au 3.11
Au3 0.0000 0.3081 0.4783 [4 per cell]  5 Al 2.63-2.80, 1 Au 2.89
Au4 0.0000 0.3355 0.0114 [4 per cell]  5 Al 2.67-2.88, 1 Au 2.99
Au5 0.0000 0.5000 0.7280 [2 per cell]  4 Al 2.65, 4 Au 2.89-2.93

raw total energy: -4.70 eV per atom
mass density: 12.427 g/cm³



[6]
Entry from Alexandria via LeMat-Bulk: AlCu2RhCl after structural relaxation (PBE).

a b c (Å): 4.6028 4.6028 4.5445
angles (deg): 90.00 90.00 90.00
Last column: nearest neighbours and their distance in Å.
Space group P4/mmm (No. 123)
Asymmetric unit:
Al1 0.0000 0.0000 0.0000 [1 per cell]  2 Rh 2.27, 4 Cu 2.30
Cu1 0.0000 0.5000 0.0000 [2 per cell]  2 Al 2.30
Rh1 0.0000 0.0000 0.5000 [1 per cell]  2 Al 2.27
Cl1 0.5000 0.5000 0.5000 [1 per cell]  8 Cu 3.23, 4 Rh 3.25

mass density: 5.044 g/cm³
raw formation energy: 661 meV/atom



[7]
Entry from Alexandria via LeMat-Bulk: AsIBr2Cl after structural relaxation (PBE).

a b c (Å): 5.6299 5.6299 5.7494
angles (deg): 90.00 90.00 90.00
Last column: nearest neighbours and their distance in Å.
Space group P4/mmm (No. 123)
Asymmetric unit:
As1 0.0000 0.0000 0.0000 [1 per cell]  2 I 2.87
I1 0.0000 0.0000 0.5000 [1 per cell]  4 Br 2.81, 2 As 2.87
Br1 0.0000 0.5000 0.5000 [2 per cell]  2 I 2.81
Cl1 0.5000 0.5000 0.0000 [1 per cell]  4 As 3.98, 8 Br 4.02

mass density: 3.618 g/cm³
raw formation energy: 606 meV/atom
E above lowest polymorph: 0 meV per atom



[8]
Entry from Alexandria via LeMat-Bulk: NdSmYMg after structural relaxation (PBE).

a b c (Å): 3.6915 3.6915 9.1482
angles (deg): 90.00 90.00 90.00
Last column: nearest neighbours and their distance in Å.
Space group P4mm (No. 99)
Asymmetric unit:
Nd1 0.0000 0.0000 0.0000 [1 per cell]  4 Y 3.61, 4 Sm 3.62, 4 Nd 3.69
Sm1 0.5000 0.5000 0.7251 [1 per cell]  4 Mg 3.36, 4 Nd 3.62, 4 Sm 3.69
Y1 0.5000 0.5000 0.2729 [1 per cell]  4 Mg 3.30, 4 Nd 3.61, 4 Y 3.69
Mg1 0.0000 0.0000 0.4941 [1 per cell]  4 Y 3.30, 4 Sm 3.36, 4 Mg 3.69

mass density: 5.432 g/cm³
E above lowest polymorph: 0 meV per atom